A relaxed structure of Mn2SnO. Source: Alexandria, functional PBE with a Hubbard U.

Lattice parameters (Å, degrees): 6.532 6.532 6.532 90.00 90.00 90.00
Space group Fm-3m (No. 225)
Inequivalent atoms, fractional coordinates:
Mn: 0.250 0.250 0.250 [8 per cell]
Sn: 0.000 0.000 0.000 [4 per cell]
O: 0.000 0.000 0.500 [4 per cell]

The size of the total moment comes out at 31.93 μB/cell. As for the volume: 17.42 A^3/atom. The density of states at the Fermi level is 1.25 states/eV/f.u. The value obtained for the energy above the most stable polymorph in this dataset is 0.716 eV/atom.